An optimized crystal structure of MoP2O2, computed with GGA+U.

As for the space-group type: I4/mmm (139). The calculation puts the electronic total energy at -5.183 eV/atom.

Cell lengths 3.2971, 3.2971, 5.8350 Å; angles 73.59, 73.59, 90.00 degrees
Last column: nearest neighbours and their distance in Å.
Fractional coordinates of all 5 atoms:
P 0.3642 0.3642 0.2715  4 O 2.05
P 0.6358 0.6358 0.7285  4 O 2.05
Mo 0.0000 0.0000 0.0000  8 P 2.75
O 0.7500 0.2500 0.5000  4 P 2.05
O 0.2500 0.7500 0.5000  4 P 2.05